Compound: TmFe9B4
Source: Alexandria
Functional: PBE-GGA
Structure: relaxed

The value obtained for the formation energy from the elements is -1.142 kcal/mol of atoms.

Structure (CIF):
```
data_TmFe9B4
_chemical_formula_sum 'Tm4 Fe36 B16'
_space_group_name_H-M_alt 'I 4/m c m'
_space_group_IT_number 140
_space_group_name_Hall '-I 4 2c'
_cell_length_a 7.285
_cell_length_b 7.285
_cell_length_c 10.856
_cell_angle_alpha 90.00
_cell_angle_beta 90.00
_cell_angle_gamma 90.00
loop_
_atom_site_label
_atom_site_type_symbol
_atom_site_fract_x
_atom_site_fract_y
_atom_site_fract_z
Tm1 Tm 0.000 0.000 0.250
Fe1 Fe 0.000 0.500 0.000
Fe2 Fe 0.083 0.192 0.000
Fe3 Fe 0.136 0.364 0.185
B1 B 0.165 0.335 0.377
```